VASP calculation (GGA+U) on ErCd2MoO6 after structural relaxation.

Its final energy is -6.220 eV/atom. As for the total moment: 0.100 μB per atom. As for the space-group type: P2_1/c, No. 14.

Cell: 5.627 5.690 9.911 Å, 90.00 124.45 90.00°
Fractional positions:
Er  0.000  0.000  0.000
Er  0.000  0.500  0.500
Cd  0.246  0.040  0.747
Cd  0.246  0.460  0.247
Cd  0.754  0.540  0.753
Cd  0.754  0.960  0.253
Mo  0.500  0.000  0.500
Mo  0.500  0.500  0.000
O  0.140  0.175  0.443
O  0.140  0.325  0.943
O  0.281  0.707  0.442
O  0.281  0.793  0.942
O  0.369  0.059  0.262
O  0.369  0.441  0.762
O  0.631  0.559  0.238
O  0.631  0.941  0.738
O  0.719  0.207  0.058
O  0.719  0.293  0.558
O  0.860  0.675  0.057
O  0.860  0.825  0.557



VASP calculation (GGA+U) on ErCdMo2O8 after structural relaxation.

Its final energy is -6.911 eV/atom. As for the total moment: 0.083 μB per atom. As for the space-group type: I-4, No. 82.

Cell: 6.741 6.741 6.741 Å, 134.38 134.38 66.49°
Fractional positions:
Er  0.000  0.000  0.000
Cd  0.250  0.750  0.500
Mo  0.500  0.500  0.000
Mo  0.750  0.250  0.500
O  0.242  0.678  0.084
O  0.322  0.406  0.564
O  0.420  0.002  0.096
O  0.594  0.158  0.916
O  0.676  0.580  0.582
O  0.842  0.758  0.436
O  0.906  0.324  0.904
O  0.998  0.094  0.418